The following is a DFT calculation (PBE) of crystalline Cs2AcRu2O7 at its relaxed geometry.

Results
crystal system: tetragonal
M_tot: 0.42 μB/atom
uncorrected formation energy: -1619.6 meV/atom

abc: 4.0652 4.0652 23.9684
angles: 90.00 90.00 90.00
Space group I4/mmm (No. 139)
Unique sites:
Cs1 0.0000 0.0000 0.1852 [4 per cell]
Ac1 0.0000 0.0000 0.0000 [2 per cell]
Ru1 0.0000 0.0000 0.4130 [4 per cell]
O1 0.0000 0.0000 0.3356 [4 per cell]
O2 0.0000 0.0000 0.5000 [2 per cell]
O3 0.0000 0.5000 0.0753 [8 per cell]